(1)
VASP calculation (PBE) on CuRuAu3 after structural relaxation.

a b c (Å): 4.701 4.701 4.701
angles (deg): 90.00 90.00 90.00
Element x y z (fractional)
Cu (0.000, 0.000, 0.000)
Ru (0.500, 0.500, 0.500)
Au (0.000, 0.000, 0.500)
Au (0.000, 0.500, 0.000)
Au (0.500, 0.000, 0.000)

magnetic moment = 2.359 μB/f.u.
SG = Pm-3m
formation enthalpy at 0 K = 106.8 kJ/mol of atoms
electronic total energy = -17.67 eV/cell
crystal system = cubic
energy above the lowest structure with this stoichiometry = 0 meV/atom

---

(2)
VASP calculation (PBE) on CuRu2Au after structural relaxation.

a b c (Å): 5.163 8.367 2.727
angles (deg): 90.00 90.00 90.00
Element x y z (fractional)
Cu (0.000, 0.000, 0.000)
Cu (0.500, 0.500, 0.000)
Ru (0.250, 0.250, 0.500)
Ru (0.250, 0.750, 0.500)
Ru (0.750, 0.250, 0.500)
Ru (0.750, 0.750, 0.500)
Au (0.000, 0.500, 0.000)
Au (0.500, 0.000, 0.000)

magnetic moment = 1.242 μB/f.u.
SG = Cmmm
formation enthalpy at 0 K = 44.8 kJ/mol of atoms
electronic total energy = -48.14 eV/cell
crystal system = orthorhombic
energy above the lowest structure with this stoichiometry = 301 meV/atom

---

(3)
VASP calculation (PBE) on CuRuAu2 after structural relaxation.

a b c (Å): 2.789 3.796 5.990
angles (deg): 90.00 90.00 90.00
Element x y z (fractional)
Cu (0.000, 0.000, 0.000)
Ru (0.500, 0.500, 0.216)
Au (0.000, 0.000, 0.466)
Au (0.500, 0.500, 0.753)

magnetic moment = 1.439 μB/f.u.
SG = Pmm2
formation enthalpy at 0 K = 28.2 kJ/mol of atoms
electronic total energy = -18.76 eV/cell
crystal system = orthorhombic
energy above the lowest structure with this stoichiometry = 60 meV/atom

---

(4)
VASP calculation (PBE) on CuRuAu2 after structural relaxation.

a b c (Å): 2.791 2.791 28.002
angles (deg): 90.00 90.00 120.00
Element x y z (fractional)
Cu (0.000, 0.000, 0.000)
Cu (0.333, 0.667, 0.667)
Cu (0.667, 0.333, 0.333)
Ru (0.000, 0.000, 0.740)
Ru (0.333, 0.667, 0.407)
Ru (0.667, 0.333, 0.073)
Au (0.000, 0.000, 0.253)
Au (0.000, 0.000, 0.492)
Au (0.333, 0.667, 0.159)
Au (0.333, 0.667, 0.920)
Au (0.667, 0.333, 0.586)
Au (0.667, 0.333, 0.825)

magnetic moment = 0.004 μB/f.u.
SG = R3m
formation enthalpy at 0 K = 23.5 kJ/mol of atoms
electronic total energy = -56.86 eV/cell
crystal system = trigonal
energy above the lowest structure with this stoichiometry = 11 meV/atom

---

(5)
VASP calculation (PBE) on CuRuAu2 after structural relaxation.

a b c (Å): 2.726 3.925 5.856
angles (deg): 90.00 90.09 90.00
Element x y z (fractional)
Cu (0.000, 0.000, 0.000)
Ru (0.000, 0.000, 0.500)
Au (0.499, 0.500, 0.245)
Au (0.501, 0.500, 0.755)

magnetic moment = 0.004 μB/f.u.
SG = P2/m
formation enthalpy at 0 K = 28.2 kJ/mol of atoms
electronic total energy = -18.76 eV/cell
crystal system = monoclinic
energy above the lowest structure with this stoichiometry = 59 meV/atom

---

(6)
VASP calculation (PBE) on CuRuAu2 after structural relaxation.

a b c (Å): 2.797 4.769 4.800
angles (deg): 90.00 90.00 90.00
Element x y z (fractional)
Cu (0.000, 0.000, 0.000)
Ru (0.500, 0.000, 0.500)
Au (0.000, 0.500, 0.500)
Au (0.500, 0.500, 0.000)

magnetic moment = 1.039 μB/f.u.
SG = Pmmm
formation enthalpy at 0 K = 38.0 kJ/mol of atoms
electronic total energy = -18.35 eV/cell
crystal system = orthorhombic
energy above the lowest structure with this stoichiometry = 162 meV/atom

---

(7)
VASP calculation (PBE) on CuRu2Au after structural relaxation.

a b c (Å): 3.743 3.743 4.172
angles (deg): 90.00 90.00 90.00
Element x y z (fractional)
Cu (0.000, 0.000, 0.000)
Ru (0.000, 0.500, 0.500)
Ru (0.500, 0.000, 0.500)
Au (0.500, 0.500, 0.000)

magnetic moment = 0.005 μB/f.u.
SG = P4/mmm
formation enthalpy at 0 K = 40.4 kJ/mol of atoms
electronic total energy = -24.25 eV/cell
crystal system = tetragonal
energy above the lowest structure with this stoichiometry = 256 meV/atom

---

(8)
VASP calculation (PBE) on Cu2RuAu after structural relaxation.

a b c (Å): 6.090 6.090 6.090
angles (deg): 90.00 90.00 90.00
Element x y z (fractional)
Cu (0.250, 0.250, 0.250)
Cu (0.250, 0.250, 0.750)
Cu (0.250, 0.750, 0.250)
Cu (0.250, 0.750, 0.750)
Cu (0.750, 0.250, 0.250)
Cu (0.750, 0.250, 0.750)
Cu (0.750, 0.750, 0.250)
Cu (0.750, 0.750, 0.750)
Ru (0.000, 0.000, 0.000)
Ru (0.000, 0.500, 0.500)
Ru (0.500, 0.000, 0.500)
Ru (0.500, 0.500, 0.000)
Au (0.000, 0.000, 0.500)
Au (0.000, 0.500, 0.000)
Au (0.500, 0.000, 0.000)
Au (0.500, 0.500, 0.500)

magnetic moment = 1.433 μB/f.u.
SG = Fm-3m
formation enthalpy at 0 K = 27.9 kJ/mol of atoms
electronic total energy = -78.36 eV/cell
crystal system = cubic
energy above the lowest structure with this stoichiometry = 90 meV/atom

---

(9)
VASP calculation (PBE) on CuRu4Au after structural relaxation.

a b c (Å): 5.101 5.101 5.101
angles (deg): 60.00 60.00 60.00
Element x y z (fractional)
Cu (0.000, 0.000, 0.000)
Ru (0.125, 0.625, 0.625)
Ru (0.625, 0.125, 0.625)
Ru (0.625, 0.625, 0.125)
Ru (0.625, 0.625, 0.625)
Au (0.250, 0.250, 0.250)

magnetic moment = 2.065 μB/f.u.
SG = F-43m
formation enthalpy at 0 K = 68.8 kJ/mol of atoms
electronic total energy = -40.20 eV/cell
crystal system = cubic

---

(10)
VASP calculation (PBE) on CuRu2Au after structural relaxation.

a b c (Å): 2.786 4.655 9.292
angles (deg): 90.00 90.00 90.00
Element x y z (fractional)
Cu (0.000, 0.000, 0.000)
Cu (0.500, 0.500, 0.000)
Ru (0.000, 0.000, 0.528)
Ru (0.000, 0.500, 0.760)
Ru (0.500, 0.000, 0.760)
Ru (0.500, 0.500, 0.528)
Au (0.000, 0.500, 0.251)
Au (0.500, 0.000, 0.251)

magnetic moment = 0.940 μB/f.u.
SG = Cmm2
formation enthalpy at 0 K = 36.4 kJ/mol of atoms
electronic total energy = -48.83 eV/cell
crystal system = orthorhombic
energy above the lowest structure with this stoichiometry = 214 meV/atom

---

(11)
VASP calculation (PBE) on CuRuAu2 after structural relaxation.

a b c (Å): 3.838 3.838 18.843
angles (deg): 90.00 90.00 90.00
Element x y z (fractional)
Cu (0.000, 0.000, 0.000)
Cu (0.000, 0.500, 0.250)
Cu (0.500, 0.000, 0.750)
Cu (0.500, 0.500, 0.500)
Ru (0.000, 0.000, 0.500)
Ru (0.000, 0.500, 0.750)
Ru (0.500, 0.000, 0.250)
Ru (0.500, 0.500, 0.000)
Au (0.247, 0.250, 0.125)
Au (0.250, 0.747, 0.375)
Au (0.250, 0.753, 0.875)
Au (0.253, 0.250, 0.625)
Au (0.747, 0.750, 0.625)
Au (0.750, 0.247, 0.875)
Au (0.750, 0.253, 0.375)
Au (0.753, 0.750, 0.125)

magnetic moment = 1.847 μB/f.u.
SG = I-42d
formation enthalpy at 0 K = 62.1 kJ/mol of atoms
electronic total energy = -69.40 eV/cell
crystal system = tetragonal
energy above the lowest structure with this stoichiometry = 411 meV/atom

---

(12)
VASP calculation (PBE) on CuRuAu2 after structural relaxation.

a b c (Å): 4.107 4.107 7.511
angles (deg): 90.00 90.00 90.00
Element x y z (fractional)
Cu (0.000, 0.000, 0.000)
Cu (0.500, 0.500, 0.500)
Ru (0.000, 0.000, 0.500)
Ru (0.500, 0.500, 0.000)
Au (0.000, 0.500, 0.250)
Au (0.000, 0.500, 0.750)
Au (0.500, 0.000, 0.250)
Au (0.500, 0.000, 0.750)

magnetic moment = 1.400 μB/f.u.
SG = I4/mmm
formation enthalpy at 0 K = 33.4 kJ/mol of atoms
electronic total energy = -37.09 eV/cell
crystal system = tetragonal
energy above the lowest structure with this stoichiometry = 114 meV/atom

---

(13)
VASP calculation (PBE) on CuRu2Au after structural relaxation.

a b c (Å): 2.916 2.916 6.807
angles (deg): 90.00 90.00 90.00
Element x y z (fractional)
Cu (0.000, 0.000, 0.000)
Ru (0.500, 0.500, 0.218)
Ru (0.500, 0.500, 0.782)
Au (0.000, 0.000, 0.500)

magnetic moment = 0.000 μB/f.u.
SG = P4/mmm
formation enthalpy at 0 K = 46.6 kJ/mol of atoms
electronic total energy = -23.99 eV/cell
crystal system = tetragonal
energy above the lowest structure with this stoichiometry = 320 meV/atom

---

(14)
VASP calculation (PBE) on CuRuAu3 after structural relaxation.

a b c (Å): 5.027 5.027 5.027
angles (deg): 90.00 90.00 90.00
Element x y z (fractional)
Cu (0.000, 0.000, 0.000)
Ru (0.500, 0.500, 0.500)
Au (0.000, 0.500, 0.500)
Au (0.500, 0.000, 0.500)
Au (0.500, 0.500, 0.000)

magnetic moment = 2.346 μB/f.u.
SG = Pm-3m
formation enthalpy at 0 K = 126.7 kJ/mol of atoms
electronic total energy = -16.64 eV/cell
crystal system = cubic
energy above the lowest structure with this stoichiometry = 207 meV/atom

---

(15)
VASP calculation (PBE) on Cu2RuAu after structural relaxation.

a b c (Å): 6.888 6.888 5.309
angles (deg): 90.00 90.00 90.00
Element x y z (fractional)
Cu (0.242, 0.250, 0.125)
Cu (0.250, 0.742, 0.375)
Cu (0.250, 0.758, 0.875)
Cu (0.258, 0.250, 0.625)
Cu (0.742, 0.750, 0.625)
Cu (0.750, 0.242, 0.875)
Cu (0.750, 0.258, 0.375)
Cu (0.758, 0.750, 0.125)
Ru (0.000, 0.000, 0.000)
Ru (0.000, 0.500, 0.250)
Ru (0.500, 0.000, 0.750)
Ru (0.500, 0.500, 0.500)
Au (0.000, 0.000, 0.500)
Au (0.000, 0.500, 0.750)
Au (0.500, 0.000, 0.250)
Au (0.500, 0.500, 0.000)

magnetic moment = 1.689 μB/f.u.
SG = I-42d
formation enthalpy at 0 K = 64.6 kJ/mol of atoms
electronic total energy = -72.27 eV/cell
crystal system = tetragonal
energy above the lowest structure with this stoichiometry = 470 meV/atom